## Nd2Ge3Au5 (PBE)

Data for a geometry-optimized Nd2Ge3Au5 structure.

Output
- ΔH_f (0 K) (meV/atom) = -536.6
- volume (Å³/f.u.) = 212.6
- space group = No. 72
- final energy (eV/f.u.) = -45.14

Unit cell a=8.847 b=8.847 c=8.847 alpha=103.17 beta=91.25 gamma=138.61
Sites, in units of the cell vectors:
Nd (0.132, 0.240, 0.371)
Nd (0.368, 0.740, 0.108)
Nd (0.632, 0.260, 0.892)
Nd (0.868, 0.760, 0.629)
Ge (0.127, 0.869, 0.996)
Ge (0.250, 0.750, 0.500)
Ge (0.373, 0.369, 0.742)
Ge (0.627, 0.631, 0.258)
Ge (0.750, 0.250, 0.500)
Ge (0.873, 0.131, 0.004)
Au (0.001, 0.750, 0.251)
Au (0.109, 0.644, 0.753)
Au (0.250, 0.250, 0.000)
Au (0.391, 0.144, 0.535)
Au (0.499, 0.750, 0.749)
Au (0.501, 0.250, 0.251)
Au (0.609, 0.856, 0.465)
Au (0.750, 0.750, 0.000)
Au (0.891, 0.356, 0.247)
Au (0.999, 0.250, 0.749)



## CsKAg2 (PBE)

Data for a geometry-optimized CsKAg2 structure.

Output
- relative energy among the computed polymorphs (eV/atom) = 0.000
- ΔH_f (0 K) (meV/atom) = 10.1
- volume (Å³/f.u.) = 190.8
- space group = No. 11
- final energy (eV/f.u.) = -7.61

Unit cell a=4.942 b=8.496 c=9.421 alpha=90.00 beta=105.27 gamma=90.00
Sites, in units of the cell vectors:
Cs (0.111, 0.250, 0.223)
Cs (0.889, 0.750, 0.777)
K (0.363, 0.250, 0.724)
K (0.637, 0.750, 0.276)
Ag (0.250, 0.583, 0.500)
Ag (0.250, 0.917, 0.500)
Ag (0.750, 0.083, 0.500)
Ag (0.750, 0.417, 0.500)



## KSb2P2 (PBE)

Data for a geometry-optimized KSb2P2 structure.

Output
- relative energy among the computed polymorphs (eV/atom) = 0.279
- volume (Å³/f.u.) = 124.9
- energy relative to the elements, uncorrected (eV/atom) = 0.206
- space group = No. 127
- final energy (eV/f.u.) = -19.13

Unit cell a=8.102 b=8.102 c=3.805 alpha=90.00 beta=90.00 gamma=90.00
Sites, in units of the cell vectors:
K (0.000, 0.000, 0.000)
K (0.500, 0.500, 0.000)
Sb (0.137, 0.363, 0.500)
Sb (0.363, 0.863, 0.500)
Sb (0.637, 0.137, 0.500)
Sb (0.863, 0.637, 0.500)
P (0.137, 0.637, 0.000)
P (0.363, 0.137, 0.000)
P (0.637, 0.863, 0.000)
P (0.863, 0.363, 0.000)



## AlRuW2 (PBE)

Data for a geometry-optimized AlRuW2 structure.

Output
- ΔH_f (0 K) (meV/atom) = -64.1
- volume (Å³/f.u.) = 60.7
- space group = No. 5
- final energy (eV/f.u.) = -39.18

Unit cell a=6.223 b=6.242 c=4.406 alpha=90.00 beta=134.86 gamma=90.00
Sites, in units of the cell vectors:
Al (0.000, 0.000, 0.000)
Al (0.500, 0.500, 0.000)
Ru (0.000, 0.750, 0.500)
Ru (0.500, 0.250, 0.500)
W (0.000, 0.250, 0.500)
W (0.000, 0.501, 0.000)
W (0.500, 0.001, 0.000)
W (0.500, 0.750, 0.500)



## TlSb2Br (PBE)

Data for a geometry-optimized TlSb2Br structure.

Output
- relative energy among the computed polymorphs (eV/atom) = 0.256
- volume (Å³/f.u.) = 131.3
- energy relative to the elements, uncorrected (eV/atom) = -0.065
- space group = No. 12
- final energy (eV/f.u.) = -12.54

Unit cell a=6.229 b=13.467 c=4.371 alpha=90.00 beta=134.29 gamma=90.00
Sites, in units of the cell vectors:
Tl (0.000, 0.000, 0.000)
Tl (0.500, 0.500, 0.000)
Sb (0.250, 0.250, 0.000)
Sb (0.250, 0.750, 0.000)
Sb (0.750, 0.250, 0.000)
Sb (0.750, 0.750, 0.000)
Br (0.000, 0.500, 0.000)
Br (0.500, 0.000, 0.000)



## Tb2PmTm3Se6 (PBE)

Data for a geometry-optimized Tb2PmTm3Se6 structure.

Output
- volume (Å³/f.u.) = 286.6
- energy relative to the elements, uncorrected (eV/atom) = -1.731
- space group = No. 12
- final energy (eV/f.u.) = -69.10

Unit cell a=7.018 b=7.018 c=7.134 alpha=99.40 beta=99.40 gamma=120.29
Sites, in units of the cell vectors:
Tb (0.166, 0.834, 0.000)
Tb (0.834, 0.166, 0.000)
Pm (0.500, 0.500, 0.000)
Tm (0.000, 0.000, 0.500)
Tm (0.338, 0.662, 0.500)
Tm (0.662, 0.338, 0.500)
Se (0.073, 0.413, 0.738)
Se (0.247, 0.247, 0.259)
Se (0.413, 0.073, 0.738)
Se (0.587, 0.927, 0.262)
Se (0.753, 0.753, 0.741)
Se (0.927, 0.587, 0.262)



## TeMoWSe3 (PBE)

Data for a geometry-optimized TeMoWSe3 structure.

Output
- relative energy among the computed polymorphs (eV/atom) = 0.000
- volume (Å³/f.u.) = 142.3
- energy relative to the elements, uncorrected (eV/atom) = -0.501
- space group = No. 156
- final energy (eV/f.u.) = -40.39

Unit cell a=3.376 b=3.376 c=28.817 alpha=90.00 beta=90.00 gamma=120.00
Sites, in units of the cell vectors:
Te (0.000, 0.000, 0.000)
Te (0.000, 0.000, 0.131)
Mo (0.000, 0.000, 0.320)
Mo (0.333, 0.667, 0.065)
W (0.000, 0.000, 0.810)
W (0.333, 0.667, 0.565)
Se (0.000, 0.000, 0.507)
Se (0.000, 0.000, 0.623)
Se (0.333, 0.667, 0.263)
Se (0.333, 0.667, 0.378)
Se (0.333, 0.667, 0.752)
Se (0.333, 0.667, 0.867)



## YLuTe2 (PBE)

Data for a geometry-optimized YLuTe2 structure.

Output
- relative energy among the computed polymorphs (eV/atom) = 0.000
- volume (Å³/f.u.) = 106.4
- energy relative to the elements, uncorrected (eV/atom) = -1.087
- space group = No. 123
- final energy (eV/f.u.) = -21.62

Unit cell a=3.761 b=3.761 c=7.520 alpha=90.00 beta=90.00 gamma=90.00
Sites, in units of the cell vectors:
Y (0.000, 0.000, 0.000)
Lu (0.000, 0.000, 0.500)
Te (0.500, 0.500, 0.253)
Te (0.500, 0.500, 0.747)



- The lowest volume belongs to which entry?
  AlRuW2